AcNi | PBE | optimized geometry

spin magnetization	0.000	μB per atom
E_tot	-10.1	eV per cell
energy of formation	-0.20	eV per atom

abc: 4.2366 4.2366 4.2366
angles: 60.00 60.00 60.00
Positions (direct):
Ac1 0.0000 0.0000 0.0000
Ni1 0.5000 0.5000 0.5000